Version 1
DFT (PBE) results for crystalline ScPbCl at its relaxed geometry. Values from VASP.

Quantum ESPRESSO input file:
```
&SYSTEM
  ibrav = 0, nat = 3, ntyp = 3
/
ATOMIC_SPECIES
Sc 44.96 Sc.upf
Pb 207.20 Pb.upf
Cl 35.45 Cl.upf
CELL_PARAMETERS angstrom
0.0000 3.4706 3.4706
3.4706 0.0000 3.4706
3.4706 3.4706 0.0000
ATOMIC_POSITIONS crystal
Sc 0.0000 0.0000 0.0000
Pb 0.2500 0.2500 0.2500
Cl 0.7500 0.7500 0.7500
```

Results
space-group type	F-43m (216)

---

Version 2
DFT (PBE) results for crystalline ScPbCl at its relaxed geometry. Values from VASP.

Quantum ESPRESSO input file:
```
&SYSTEM
  ibrav = 0, nat = 3, ntyp = 3
/
ATOMIC_SPECIES
Sc 44.96 Sc.upf
Pb 207.20 Pb.upf
Cl 35.45 Cl.upf
CELL_PARAMETERS angstrom
0.0000 3.4256 3.4256
3.4256 0.0000 3.4256
3.4256 3.4256 0.0000
ATOMIC_POSITIONS crystal
Sc 0.0000 0.0000 0.0000
Pb 0.5000 0.5000 0.5000
Cl 0.2500 0.2500 0.2500
```

Results
space-group type	F-43m (216)

---

Result of the stability comparison: version 2 is the least stable of them.

---

Version 1
DFT (PBE) results for crystalline ScPbCl at its relaxed geometry. Values from VASP.

Quantum ESPRESSO input file:
```
&SYSTEM
  ibrav = 0, nat = 3, ntyp = 3
/
ATOMIC_SPECIES
Sc 44.96 Sc.upf
Pb 207.20 Pb.upf
Cl 35.45 Cl.upf
CELL_PARAMETERS angstrom
4.6652 0.0000 0.0000
-2.3326 4.0402 0.0000
0.0000 0.0000 3.8358
ATOMIC_POSITIONS crystal
Sc 0.0000 0.0000 0.0000
Pb 0.6667 0.3333 0.5000
Cl 0.3333 0.6667 0.0000
```

Results
space-group type	P-6m2 (187)

---

Version 2
DFT (PBE) results for crystalline ScPbCl at its relaxed geometry. Values from VASP.

Quantum ESPRESSO input file:
```
&SYSTEM
  ibrav = 0, nat = 3, ntyp = 3
/
ATOMIC_SPECIES
Sc 44.96 Sc.upf
Pb 207.20 Pb.upf
Cl 35.45 Cl.upf
CELL_PARAMETERS angstrom
3.5405 0.0000 0.0000
-1.7702 3.0661 0.0000
0.0000 0.0000 7.8087
ATOMIC_POSITIONS crystal
Sc 0.0000 0.0000 0.0000
Pb 0.6667 0.3333 0.6887
Cl 0.3333 0.6667 0.2023
```

Results
space-group type	P3m1 (156)

---

Result of the stability comparison: version 1 is the least stable of them.

---

Version 1
DFT (PBE) results for crystalline ScPbCl3 at its relaxed geometry. Values from VASP.

Quantum ESPRESSO input file:
```
&SYSTEM
  ibrav = 0, nat = 5, ntyp = 3
/
ATOMIC_SPECIES
Sc 44.96 Sc.upf
Pb 207.20 Pb.upf
Cl 35.45 Cl.upf
CELL_PARAMETERS angstrom
5.0832 0.0000 0.0000
0.0000 5.0832 0.0000
0.0000 0.0000 5.0832
ATOMIC_POSITIONS crystal
Sc 0.0000 0.0000 0.0000
Pb 0.5000 0.5000 0.5000
Cl 0.0000 0.0000 0.5000
Cl 0.0000 0.5000 0.0000
Cl 0.5000 0.0000 0.0000
```

Results
space-group type	Pm-3m (221)

---

Version 2
DFT (PBE) results for crystalline ScPbCl3 at its relaxed geometry. Values from VASP.

Quantum ESPRESSO input file:
```
&SYSTEM
  ibrav = 0, nat = 5, ntyp = 3
/
ATOMIC_SPECIES
Sc 44.96 Sc.upf
Pb 207.20 Pb.upf
Cl 35.45 Cl.upf
CELL_PARAMETERS angstrom
5.6264 0.0000 0.0000
0.0000 5.6264 0.0000
0.0000 0.0000 5.6264
ATOMIC_POSITIONS crystal
Sc 0.0000 0.0000 0.0000
Pb 0.5000 0.5000 0.5000
Cl 0.0000 0.5000 0.5000
Cl 0.5000 0.0000 0.5000
Cl 0.5000 0.5000 0.0000
```

Results
space-group type	Pm-3m (221)

---

Result of the stability comparison: version 2 is the least stable of them.

---

Version 1
DFT (PBE) results for crystalline PbSeCl2 at its relaxed geometry. Values from VASP.

Quantum ESPRESSO input file:
```
&SYSTEM
  ibrav = 0, nat = 8, ntyp = 3
/
ATOMIC_SPECIES
Pb 207.20 Pb.upf
Se 78.96 Se.upf
Cl 35.45 Cl.upf
CELL_PARAMETERS angstrom
-4.2133 4.2133 3.3681
4.2133 -4.2133 3.3681
4.2133 4.2133 -3.3681
ATOMIC_POSITIONS crystal
Pb 0.0000 0.0000 0.0000
Pb 0.7500 0.2500 0.5000
Se 0.2500 0.7500 0.5000
Se 0.5000 0.5000 0.0000
Cl 0.0853 0.6250 0.9603
Cl 0.3750 0.3353 0.4603
Cl 0.6647 0.1250 0.0397
Cl 0.8750 0.9147 0.5397
```

Results
space-group type	I-42d (122)

---

Version 2
DFT (PBE) results for crystalline PbSeCl2 at its relaxed geometry. Values from VASP.

Quantum ESPRESSO input file:
```
&SYSTEM
  ibrav = 0, nat = 4, ntyp = 3
/
ATOMIC_SPECIES
Pb 207.20 Pb.upf
Se 78.96 Se.upf
Cl 35.45 Cl.upf
CELL_PARAMETERS angstrom
-2.0855 2.0855 5.6659
2.0855 -2.0855 5.6659
2.0855 2.0855 -5.6659
ATOMIC_POSITIONS crystal
Pb 0.0000 0.0000 0.0000
Se 0.2500 0.7500 0.5000
Cl 0.5000 0.5000 0.0000
Cl 0.7500 0.2500 0.5000
```

Results
space-group type	I-4m2 (119)

---

Result of the stability comparison: version 1 is the least stable of them.

---

Version 1
DFT (PBE) results for crystalline PbSeCl2 at its relaxed geometry. Values from VASP.

Quantum ESPRESSO input file:
```
&SYSTEM
  ibrav = 0, nat = 4, ntyp = 3
/
ATOMIC_SPECIES
Pb 207.20 Pb.upf
Se 78.96 Se.upf
Cl 35.45 Cl.upf
CELL_PARAMETERS angstrom
-2.4534 2.4534 4.1888
2.4534 -2.4534 4.1888
2.4534 2.4534 -4.1888
ATOMIC_POSITIONS crystal
Pb 0.0000 0.0000 0.0000
Se 0.5000 0.5000 0.0000
Cl 0.2500 0.7500 0.5000
Cl 0.7500 0.2500 0.5000
```

Results
space-group type	I4/mmm (139)

---

Version 2
DFT (PBE) results for crystalline PbSeCl2 at its relaxed geometry. Values from VASP.

Quantum ESPRESSO input file:
```
&SYSTEM
  ibrav = 0, nat = 4, ntyp = 3
/
ATOMIC_SPECIES
Pb 207.20 Pb.upf
Se 78.96 Se.upf
Cl 35.45 Cl.upf
CELL_PARAMETERS angstrom
3.3106 -4.4970 0.0000
3.3106 4.4970 0.0000
-3.2941 0.0000 3.6332
ATOMIC_POSITIONS crystal
Pb 0.0000 0.0000 0.0000
Se 0.5000 0.5000 0.0000
Cl 0.0000 0.5000 0.5000
Cl 0.5000 0.0000 0.5000
```

Results
space-group type	C2/m (12)

---

Result of the stability comparison: version 1 is the least stable of them.

---

Version 1
DFT (PBE) results for crystalline PbSeCl2 at its relaxed geometry. Values from VASP.

Quantum ESPRESSO input file:
```
&SYSTEM
  ibrav = 0, nat = 4, ntyp = 3
/
ATOMIC_SPECIES
Pb 207.20 Pb.upf
Se 78.96 Se.upf
Cl 35.45 Cl.upf
CELL_PARAMETERS angstrom
0.0000 3.6142 3.6142
3.6142 0.0000 3.6142
3.6142 3.6142 0.0000
ATOMIC_POSITIONS crystal
Pb 0.0000 0.0000 0.0000
Se 0.7500 0.7500 0.7500
Cl 0.2500 0.2500 0.2500
Cl 0.5000 0.5000 0.5000
```

Results
space-group type	F-43m (216)

---

Version 2
DFT (PBE) results for crystalline PbSeCl2 at its relaxed geometry. Values from VASP.

Quantum ESPRESSO input file:
```
&SYSTEM
  ibrav = 0, nat = 4, ntyp = 3
/
ATOMIC_SPECIES
Pb 207.20 Pb.upf
Se 78.96 Se.upf
Cl 35.45 Cl.upf
CELL_PARAMETERS angstrom
2.2720 1.3117 6.8570
-2.2720 1.3117 6.8570
0.0000 -2.6235 6.8570
ATOMIC_POSITIONS crystal
Pb 0.0000 0.0000 0.0000
Se 0.7271 0.7271 0.7271
Cl 0.2602 0.2602 0.2602
Cl 0.4468 0.4468 0.4468
```

Results
space-group type	R3m (160)

---

Version 3
DFT (PBE) results for crystalline PbSeCl2 at its relaxed geometry. Values from VASP.

Quantum ESPRESSO input file:
```
&SYSTEM
  ibrav = 0, nat = 4, ntyp = 3
/
ATOMIC_SPECIES
Pb 207.20 Pb.upf
Se 78.96 Se.upf
Cl 35.45 Cl.upf
CELL_PARAMETERS angstrom
3.8420 0.0000 0.0000
0.0000 3.8420 0.0000
0.0000 0.0000 7.7899
ATOMIC_POSITIONS crystal
Pb 0.0000 0.0000 0.0000
Se 0.5000 0.5000 0.2686
Cl 0.0000 0.0000 0.3727
Cl 0.5000 0.5000 0.8042
```

Results
space-group type	P4mm (99)

---

Result of the stability comparison: version 1 is the least stable of them.

---

Version 1
DFT (PBE) results for crystalline PbSeCl2 at its relaxed geometry. Values from VASP.

Quantum ESPRESSO input file:
```
&SYSTEM
  ibrav = 0, nat = 4, ntyp = 3
/
ATOMIC_SPECIES
Pb 207.20 Pb.upf
Se 78.96 Se.upf
Cl 35.45 Cl.upf
CELL_PARAMETERS angstrom
1.7042 0.9839 10.0212
-1.7042 0.9839 10.0212
0.0000 -1.9679 10.0212
ATOMIC_POSITIONS crystal
Pb 0.0000 0.0000 0.0000
Se 0.5000 0.5000 0.5000
Cl 0.0922 0.0922 0.0922
Cl 0.9078 0.9078 0.9078
```

Results
space-group type	R-3m (166)

---

Version 2
DFT (PBE) results for crystalline PbSeCl2 at its relaxed geometry. Values from VASP.

Quantum ESPRESSO input file:
```
&SYSTEM
  ibrav = 0, nat = 4, ntyp = 3
/
ATOMIC_SPECIES
Pb 207.20 Pb.upf
Se 78.96 Se.upf
Cl 35.45 Cl.upf
CELL_PARAMETERS angstrom
4.4750 0.0000 0.0000
0.0000 4.4750 0.0000
0.0000 0.0000 7.1113
ATOMIC_POSITIONS crystal
Pb 0.0000 0.0000 0.0000
Se 0.5000 0.5000 0.0035
Cl 0.0000 0.0000 0.3533
Cl 0.5000 0.5000 0.6932
```

Results
space-group type	P4mm (99)

---

Result of the stability comparison: version 1 is the least stable of them.

---

Version 1
DFT (PBE) results for crystalline PbSeCl2 at its relaxed geometry. Values from VASP.

Quantum ESPRESSO input file:
```
&SYSTEM
  ibrav = 0, nat = 4, ntyp = 3
/
ATOMIC_SPECIES
Pb 207.20 Pb.upf
Se 78.96 Se.upf
Cl 35.45 Cl.upf
CELL_PARAMETERS angstrom
2.3286 -3.3328 0.0000
2.3286 3.3328 0.0000
0.0000 0.0000 8.1045
ATOMIC_POSITIONS crystal
Pb 0.0000 0.0000 0.0000
Se 0.5000 0.5000 0.2672
Cl 0.0000 0.0000 0.3691
Cl 0.5000 0.5000 0.7915
```

Results
space-group type	Cmm2 (35)

---

Version 2
DFT (PBE) results for crystalline PbSeCl2 at its relaxed geometry. Values from VASP.

Quantum ESPRESSO input file:
```
&SYSTEM
  ibrav = 0, nat = 4, ntyp = 3
/
ATOMIC_SPECIES
Pb 207.20 Pb.upf
Se 78.96 Se.upf
Cl 35.45 Cl.upf
CELL_PARAMETERS angstrom
3.4607 0.0000 0.0000
0.0000 3.4607 0.0000
0.0000 0.0000 11.0399
ATOMIC_POSITIONS crystal
Pb 0.0000 0.0000 0.0000
Se 0.0000 0.0000 0.5000
Cl 0.5000 0.5000 0.1561
Cl 0.5000 0.5000 0.8439
```

Results
space-group type	P4/mmm (123)

---

Result of the stability comparison: version 2 is the least stable of them.